[1]
HgAsCl2: relaxed, PBE.

Lattice parameters (Å, degrees): 5.3746 5.3746 5.3746 130.07 130.07 73.29
Closest atoms and distances in Å follow each position.
Positions (direct):
Hg 0.2500 0.7500 0.5000  8 Cl 3.13, 4 As 3.21
Cl 0.0000 0.0000 0.0000  4 As 3.13, 4 Hg 3.13, 4 Cl 3.21
Cl 0.5000 0.5000 0.0000  4 Hg 3.13, 4 As 3.13, 4 Cl 3.21
As 0.7500 0.2500 0.5000  8 Cl 3.13, 4 Hg 3.21

Properties
The value obtained for the uncorrected formation energy is 313 meV per atom. The crystal system is tetragonal. The total moment is 0.0 μB/cell.

***

[2]
HgAs2Cl: relaxed, PBE.

Lattice parameters (Å, degrees): 3.2154 5.3947 4.9008 90.00 90.00 90.00
Closest atoms and distances in Å follow each position.
Positions (direct):
Cl 0.5000 0.0000 0.5000  4 As 2.93, 4 Hg 3.14, 2 Cl 3.22
As 0.5000 0.5000 0.0000  4 Hg 2.93, 6 As 3.14-3.22
As 0.0000 0.0000 0.0000  4 Cl 2.93, 6 As 3.14-3.22
Hg 0.0000 0.5000 0.5000  4 As 2.93, 4 Cl 3.14, 2 Hg 3.22

Properties
The value obtained for the uncorrected formation energy is 307 meV per atom. The crystal system is orthorhombic. The total moment is 0.0 μB/cell.

***

The density results, record by record, are as follows: 6.5, 7.5 Mg/m³.
The E results, record by record, are as follows: -1.85, -2.55 eV/atom.
The calculated volume results, record by record, are as follows: 89, 85 Å³/f.u..